[1]
Entry from Alexandria: a crystal of Zr3FeCu2S8 relaxed with PBEsol (SCAN).

Summary:
Crystal system   trigonal
SG   R-3m (166)
E_form (uncorrected)   -1689 kJ/mol of formula units
Density   4.6 g cm⁻³

Unit cell a=7.0754 b=7.0754 c=7.0754 alpha=61.09 beta=61.09 gamma=61.09
Positions (direct):
1 Cu 0.1209 0.1209 0.1209
2 Cu 0.8791 0.8791 0.8791
3 S 0.2617 0.7343 0.7343
4 S 0.7383 0.2657 0.2657
5 S 0.7343 0.2617 0.7343
6 S 0.2657 0.2657 0.7383
7 S 0.2500 0.2500 0.2500
8 S 0.7500 0.7500 0.7500
9 S 0.7343 0.7343 0.2617
10 S 0.2657 0.7383 0.2657
11 Zr 0.5000 0.0000 0.5000
12 Zr 0.5000 0.5000 0.0000
13 Zr 0.0000 0.5000 0.5000
14 Fe 0.5000 0.5000 0.5000

[2]
Entry from Alexandria: a crystal of Fe2CuSb relaxed with PBEsol (SCAN).

Summary:
Crystal system   trigonal
SG   R-3m (166)
E_form (uncorrected)   229 kJ/mol of formula units
Density   8.6 g cm⁻³

Unit cell a=2.9352 b=2.9352 c=7.8985 alpha=79.29 beta=79.29 gamma=60.00
Last column: magnetic moment on the atom in μB.
Positions (direct):
1 Fe 0.7453 0.7453 0.7641  2.78
2 Fe 0.2547 0.2547 0.2359  2.78
3 Cu 0.0000 0.0000 0.0000  0.08
4 Sb 0.5000 0.5000 0.5000  -0.05

[3]
Entry from Alexandria: a crystal of FeCu2Sb relaxed with PBEsol (SCAN).

Summary:
Crystal system   tetragonal
SG   P4/mmm (123)
E_form (uncorrected)   56 kJ/mol of formula units
Density   9.3 g cm⁻³

Unit cell a=3.7479 b=3.7479 c=3.8884 alpha=90.00 beta=90.00 gamma=90.00
Last column: magnetic moment on the atom in μB.
Positions (direct):
1 Cu 0.0000 0.5000 0.0000  0.02
2 Cu 0.5000 0.0000 0.0000  0.02
3 Sb 0.0000 0.0000 0.5000  0.04
4 Fe 0.5000 0.5000 0.5000  2.76

[4]
Entry from Alexandria: a crystal of FeCu2Sb relaxed with PBEsol (SCAN).

Summary:
Crystal system   orthorhombic
SG   Pmmm (47)
E_form (uncorrected)   109 kJ/mol of formula units
Density   8.8 g cm⁻³

Unit cell a=3.0864 b=3.5688 c=5.2126 alpha=90.00 beta=90.00 gamma=90.00
Last column: magnetic moment on the atom in μB.
Positions (direct):
1 Fe 0.5000 0.5000 0.0000  2.97
2 Cu 0.0000 0.0000 0.7730  0.04
3 Cu 0.0000 0.0000 0.2270  0.04
4 Sb 0.5000 0.5000 0.5000  0.00

[5]
Entry from Alexandria: a crystal of FeCu2Sb relaxed with PBEsol (SCAN).

Summary:
Crystal system   monoclinic
SG   C2/m (12)
E_form (uncorrected)   135 kJ/mol of formula units
Density   8.9 g cm⁻³

Unit cell a=2.8946 b=4.2495 c=5.2828 alpha=113.66 beta=105.83 gamma=90.17
Last column: magnetic moment on the atom in μB.
Positions (direct):
1 Sb 0.0000 0.5000 0.0000  -0.02
2 Cu 0.5000 0.5000 0.5000  0.01
3 Cu 0.0000 0.0000 0.5000  0.01
4 Fe 0.5000 0.0000 0.0000  2.41

[6]
Entry from Alexandria: a crystal of FeCuSb2Te relaxed with PBEsol (SCAN).

Summary:
Crystal system   tetragonal
SG   P4/mmm (123)
E_form (uncorrected)   359 kJ/mol of formula units
Density   7.0 g cm⁻³

Unit cell a=4.7177 b=4.7177 c=5.1917 alpha=90.00 beta=90.00 gamma=90.00
Last column: magnetic moment on the atom in μB.
Positions (direct):
1 Cu 0.5000 0.5000 0.5000  0.01
2 Sb 0.5000 0.0000 0.0000  -0.03
3 Sb 0.0000 0.5000 0.0000  -0.03
4 Te 0.0000 0.0000 0.5000  0.10
5 Fe 0.0000 0.0000 0.0000  0.97

[7]
Entry from Alexandria: a crystal of Y2FeCuSb relaxed with PBEsol (SCAN).

Summary:
Crystal system   tetragonal
SG   P4/mmm (123)
E_form (uncorrected)   33 kJ/mol of formula units
Density   5.9 g cm⁻³

Unit cell a=4.6431 b=5.0265 c=5.0265 alpha=90.00 beta=90.00 gamma=90.00
Positions (direct):
1 Y 0.0000 0.0000 0.5000
2 Y 0.0000 0.5000 0.0000
3 Fe 0.0000 0.0000 0.0000
4 Cu 0.5000 0.5000 0.5000
5 Sb 0.5000 0.0000 0.0000

[8]
Entry from Alexandria: a crystal of Sc2FeCu relaxed with PBEsol (SCAN).

Summary:
Crystal system   tetragonal
SG   P4/mmm (123)
Density   5.6 g cm⁻³
Polymorph energy (0 for the lowest one)   0.000 eV per atom
Formation energy from the elements   -0.18 eV per atom

Unit cell a=3.1066 b=3.1066 c=6.4105 alpha=90.00 beta=90.00 gamma=90.00
Positions (direct):
1 Fe 0.5000 0.5000 0.5000
2 Cu 0.5000 0.5000 0.0000
3 Sc 0.0000 0.0000 0.2688
4 Sc 0.0000 0.0000 0.7312

> The lowest density belongs to which entry?

Zr3FeCu2S8